Entry 1:
The following is a DFT calculation (PBE-GGA) of an optimized crystal structure of Na2AsPb.

## Properties
Formation enthalpy at 0 K, eV per atom: -0.274
ΔE to the lowest computed polymorph, meV/atom: 0
Space group: Pnma, No. 62

a b c (Å): 6.917 9.115 6.791
angles (deg): 90.00 90.00 90.00
Atoms (fractional coordinates):
Na (0.197, 0.046, 0.196)
Na (0.197, 0.454, 0.196)
Na (0.303, 0.546, 0.696)
Na (0.303, 0.954, 0.696)
Na (0.697, 0.046, 0.304)
Na (0.697, 0.454, 0.304)
Na (0.803, 0.546, 0.804)
Na (0.803, 0.954, 0.804)
As (0.077, 0.750, 0.021)
As (0.423, 0.250, 0.521)
As (0.577, 0.750, 0.479)
As (0.923, 0.250, 0.979)
Pb (0.009, 0.250, 0.571)
Pb (0.491, 0.750, 0.071)
Pb (0.509, 0.250, 0.929)
Pb (0.991, 0.750, 0.429)

=====

Entry 2:
The following is a DFT calculation (PBE-GGA) of an optimized crystal structure of ZrTlOsO6.

## Properties
Space group: Imma, No. 74
Formation energy (no corrections), kJ per mole of atoms: -158.4

a b c (Å): 7.549 7.549 7.549
angles (deg): 121.77 119.18 89.20
Atoms (fractional coordinates):
Zr (0.000, 0.000, 0.000)
Zr (0.500, 0.000, 0.500)
Tl (0.429, 0.679, 0.750)
Tl (0.571, 0.321, 0.250)
Os (0.000, 0.000, 0.500)
Os (0.000, 0.500, 0.000)
O (0.049, 0.299, 0.750)
O (0.055, 0.332, 0.125)
O (0.055, 0.930, 0.723)
O (0.293, 0.070, 0.625)
O (0.293, 0.668, 0.223)
O (0.327, 0.077, 0.250)
O (0.673, 0.923, 0.750)
O (0.707, 0.332, 0.777)
O (0.707, 0.930, 0.375)
O (0.945, 0.070, 0.277)
O (0.945, 0.668, 0.875)
O (0.951, 0.701, 0.250)

=====

Entry 3:
The following is a DFT calculation (PBE-GGA) of an optimized crystal structure of Er3TcC3.

## Properties
Formation enthalpy at 0 K, eV per atom: -0.383
Space group: Cmcm, No. 63

a b c (Å): 6.741 6.741 5.072
angles (deg): 90.00 90.00 100.22
Atoms (fractional coordinates):
Er (0.108, 0.892, 0.750)
Er (0.166, 0.404, 0.750)
Er (0.404, 0.166, 0.250)
Er (0.596, 0.834, 0.750)
Er (0.834, 0.596, 0.250)
Er (0.892, 0.108, 0.250)
Tc (0.310, 0.690, 0.250)
Tc (0.690, 0.310, 0.750)
C (0.123, 0.877, 0.250)
C (0.169, 0.413, 0.250)
C (0.413, 0.169, 0.750)
C (0.587, 0.831, 0.250)
C (0.831, 0.587, 0.750)
C (0.877, 0.123, 0.750)

=====

Entry 4:
The following is a DFT calculation (PBE-GGA) of an optimized crystal structure of NaPmTlPb.

## Properties
Formation enthalpy at 0 K, eV per atom: -0.276
ΔE to the lowest computed polymorph, meV/atom: 47
Space group: F-43m, No. 216

a b c (Å): 7.722 7.722 7.722
angles (deg): 90.00 90.00 90.00
Atoms (fractional coordinates):
Na (0.000, 0.000, 0.000)
Na (0.000, 0.500, 0.500)
Na (0.500, 0.000, 0.500)
Na (0.500, 0.500, 0.000)
Pm (0.000, 0.000, 0.500)
Pm (0.000, 0.500, 0.000)
Pm (0.500, 0.000, 0.000)
Pm (0.500, 0.500, 0.500)
Tl (0.250, 0.250, 0.250)
Tl (0.250, 0.750, 0.750)
Tl (0.750, 0.250, 0.750)
Tl (0.750, 0.750, 0.250)
Pb (0.250, 0.250, 0.750)
Pb (0.250, 0.750, 0.250)
Pb (0.750, 0.250, 0.250)
Pb (0.750, 0.750, 0.750)

=====

Entry 5:
The following is a DFT calculation (PBE-GGA) of an optimized crystal structure of CaZr2Bi2.

## Properties
Formation enthalpy at 0 K, eV per atom: -0.343
ΔE to the lowest computed polymorph, meV/atom: 0
Space group: P4/mbm, No. 127

a b c (Å): 8.301 8.301 3.904
angles (deg): 90.00 90.00 90.00
Atoms (fractional coordinates):
Ca (0.000, 0.000, 0.000)
Ca (0.500, 0.500, 0.000)
Zr (0.138, 0.362, 0.500)
Zr (0.362, 0.862, 0.500)
Zr (0.638, 0.138, 0.500)
Zr (0.862, 0.638, 0.500)
Bi (0.150, 0.650, 0.000)
Bi (0.350, 0.150, 0.000)
Bi (0.650, 0.850, 0.000)
Bi (0.850, 0.350, 0.000)

=====

Entry 6:
The following is a DFT calculation (PBE-GGA) of an optimized crystal structure of ScGaHg2H.

## Properties
VASP energy, eV per atom: -2.60
Space group: P4/mmm, No. 123

a b c (Å): 5.423 5.423 3.322
angles (deg): 90.00 90.00 90.00
Atoms (fractional coordinates):
Sc (0.000, 0.000, 0.000)
Ga (0.500, 0.500, 0.500)
Hg (0.000, 0.500, 0.500)
Hg (0.500, 0.000, 0.500)
H (0.500, 0.500, 0.000)

=====

Entry 7:
The following is a DFT calculation (PBE-GGA) of an optimized crystal structure of LiGaSb2.

## Properties
Space group: P4/mmm, No. 123
Formation energy (no corrections), kJ per mole of atoms: -10.7

a b c (Å): 4.653 4.653 4.293
angles (deg): 90.00 90.00 90.00
Atoms (fractional coordinates):
Li (0.000, 0.000, 0.000)
Ga (0.500, 0.500, 0.000)
Sb (0.000, 0.500, 0.500)
Sb (0.500, 0.000, 0.500)

=====

Entry 8:
The following is a DFT calculation (PBE-GGA) of an optimized crystal structure of Tb8ZnHg2.

## Properties
Formation enthalpy at 0 K, eV per atom: -0.208
Space group: C2/m, No. 12

a b c (Å): 9.409 9.409 6.915
angles (deg): 105.18 105.18 32.20
Atoms (fractional coordinates):
Tb (0.022, 0.022, 0.274)
Tb (0.198, 0.198, 0.810)
Tb (0.338, 0.338, 0.528)
Tb (0.409, 0.409, 0.045)
Tb (0.591, 0.591, 0.955)
Tb (0.662, 0.662, 0.472)
Tb (0.802, 0.802, 0.190)
Tb (0.978, 0.978, 0.726)
Zn (0.500, 0.500, 0.500)
Hg (0.185, 0.185, 0.228)
Hg (0.815, 0.815, 0.772)

=====

Entry 9:
The following is a DFT calculation (PBE-GGA) of an optimized crystal structure of RbNaBi2.

## Properties
Formation enthalpy at 0 K, eV per atom: -0.065
ΔE to the lowest computed polymorph, meV/atom: 201
Space group: Fm-3m, No. 225

a b c (Å): 8.245 8.245 8.245
angles (deg): 90.00 90.00 90.00
Atoms (fractional coordinates):
Rb (0.000, 0.000, 0.000)
Rb (0.000, 0.500, 0.500)
Rb (0.500, 0.000, 0.500)
Rb (0.500, 0.500, 0.000)
Na (0.000, 0.000, 0.500)
Na (0.000, 0.500, 0.000)
Na (0.500, 0.000, 0.000)
Na (0.500, 0.500, 0.500)
Bi (0.250, 0.250, 0.250)
Bi (0.250, 0.250, 0.750)
Bi (0.250, 0.750, 0.250)
Bi (0.250, 0.750, 0.750)
Bi (0.750, 0.250, 0.250)
Bi (0.750, 0.250, 0.750)
Bi (0.750, 0.750, 0.250)
Bi (0.750, 0.750, 0.750)

=====

Entry 10:
The following is a DFT calculation (PBE-GGA) of an optimized crystal structure of BeSiRu2.

## Properties
ΔE to the lowest computed polymorph, meV/atom: 366
Space group: P2/m, No. 10
Formation energy (no corrections), kJ per mole of atoms: -18.4

a b c (Å): 2.751 3.712 4.929
angles (deg): 90.00 93.59 90.00
Atoms (fractional coordinates):
Be (0.000, 0.000, 0.000)
Si (0.500, 0.000, 0.500)
Ru (0.249, 0.500, 0.758)
Ru (0.751, 0.500, 0.242)

=====

Entry 11:
The following is a DFT calculation (PBE-GGA) of an optimized crystal structure of LaScWSe2.

## Properties
Space group: P4/mmm, No. 123
Formation energy (no corrections), kJ per mole of atoms: 72.9

a b c (Å): 5.017 5.017 5.875
angles (deg): 90.00 90.00 90.00
Atoms (fractional coordinates):
La (0.000, 0.000, 0.000)
Sc (0.000, 0.000, 0.500)
W (0.500, 0.500, 0.000)
Se (0.000, 0.500, 0.500)
Se (0.500, 0.000, 0.500)

=====

Entry 12:
The following is a DFT calculation (PBE-GGA) of an optimized crystal structure of Na5SnP3.

## Properties
Formation enthalpy at 0 K, eV per atom: -0.368
ΔE to the lowest computed polymorph, meV/atom: 0
Space group: P2_1/c, No. 14

a b c (Å): 8.346 7.473 15.725
angles (deg): 90.00 121.69 90.00
Atoms (fractional coordinates):
Na (0.004, 0.161, 0.082)
Na (0.004, 0.339, 0.582)
Na (0.093, 0.004, 0.760)
Na (0.093, 0.496, 0.260)
Na (0.252, 0.522, 0.088)
Na (0.252, 0.978, 0.588)
Na (0.315, 0.643, 0.742)
Na (0.315, 0.857, 0.242)
Na (0.411, 0.040, 0.089)
Na (0.411, 0.460, 0.589)
Na (0.589, 0.540, 0.411)
Na (0.589, 0.960, 0.911)
Na (0.685, 0.143, 0.758)
Na (0.685, 0.357, 0.258)
Na (0.748, 0.022, 0.412)
Na (0.748, 0.478, 0.912)
Na (0.907, 0.504, 0.740)
Na (0.907, 0.996, 0.240)
Na (0.996, 0.661, 0.418)
Na (0.996, 0.839, 0.918)
Sn (0.339, 0.147, 0.411)
Sn (0.339, 0.353, 0.911)
Sn (0.661, 0.647, 0.089)
Sn (0.661, 0.853, 0.589)
P (0.062, 0.233, 0.918)
P (0.062, 0.267, 0.418)
P (0.335, 0.702, 0.929)
P (0.335, 0.798, 0.429)
P (0.361, 0.245, 0.263)
P (0.361, 0.255, 0.763)
P (0.639, 0.745, 0.237)
P (0.639, 0.755, 0.737)
P (0.665, 0.202, 0.571)
P (0.665, 0.298, 0.071)
P (0.938, 0.733, 0.582)
P (0.938, 0.767, 0.082)

=====

Entry 13:
The following is a DFT calculation (PBE-GGA) of an optimized crystal structure of Nd7PBr12.

## Properties
Space group: R-3, No. 148
Formation energy (no corrections), kJ per mole of atoms: -168.5

a b c (Å): 9.429 9.429 9.429
angles (deg): 107.65 107.65 107.65
Atoms (fractional coordinates):
Nd (0.000, 0.000, 0.000)
Nd (0.184, 0.394, 0.470)
Nd (0.394, 0.470, 0.184)
Nd (0.470, 0.184, 0.394)
Nd (0.530, 0.816, 0.606)
Nd (0.606, 0.530, 0.816)
Nd (0.816, 0.606, 0.530)
P (0.500, 0.500, 0.500)
Br (0.032, 0.341, 0.113)
Br (0.113, 0.032, 0.341)
Br (0.187, 0.726, 0.577)
Br (0.274, 0.423, 0.813)
Br (0.341, 0.113, 0.032)
Br (0.423, 0.813, 0.274)
Br (0.577, 0.187, 0.726)
Br (0.659, 0.887, 0.968)
Br (0.726, 0.577, 0.187)
Br (0.813, 0.274, 0.423)
Br (0.887, 0.968, 0.659)
Br (0.968, 0.659, 0.887)

=====

Entry 14:
The following is a DFT calculation (PBE-GGA) of an optimized crystal structure of PrNiIr.

## Properties
Formation enthalpy at 0 K, eV per atom: -0.503
Space group: Imma, No. 74

a b c (Å): 5.259 5.461 7.471
angles (deg): 90.00 90.00 90.00
Atoms (fractional coordinates):
Pr (0.000, 0.250, 0.124)
Pr (0.000, 0.750, 0.876)
Pr (0.500, 0.250, 0.376)
Pr (0.500, 0.750, 0.624)
Ni (0.250, 0.250, 0.750)
Ni (0.250, 0.750, 0.250)
Ni (0.750, 0.250, 0.750)
Ni (0.750, 0.750, 0.250)
Ir (0.000, 0.000, 0.500)
Ir (0.000, 0.500, 0.500)
Ir (0.500, 0.000, 0.000)
Ir (0.500, 0.500, 0.000)

=====

Entry 15:
The following is a DFT calculation (PBE-GGA) of an optimized crystal structure of AcIn2Br6.

## Properties
Space group: C2/c, No. 15
Formation energy (no corrections), kJ per mole of atoms: -121.3

a b c (Å): 9.286 9.286 9.638
angles (deg): 101.89 101.89 108.41
Atoms (fractional coordinates):
Ac (0.057, 0.943, 0.750)
Ac (0.943, 0.057, 0.250)
In (0.241, 0.457, 0.708)
In (0.457, 0.241, 0.208)
In (0.543, 0.759, 0.792)
In (0.759, 0.543, 0.292)
Br (0.016, 0.597, 0.733)
Br (0.054, 0.830, 0.416)
Br (0.170, 0.946, 0.084)
Br (0.284, 0.311, 0.940)
Br (0.311, 0.284, 0.440)
Br (0.403, 0.984, 0.767)
Br (0.597, 0.016, 0.233)
Br (0.689, 0.716, 0.560)
Br (0.716, 0.689, 0.060)
Br (0.830, 0.054, 0.916)
Br (0.946, 0.170, 0.584)
Br (0.984, 0.403, 0.267)

=====

Entry 16:
The following is a DFT calculation (PBE-GGA) of an optimized crystal structure of CsPuBrF2.

## Properties
Space group: Pmm2, No. 25
Formation energy (no corrections), kJ per mole of atoms: -241.4

a b c (Å): 4.477 4.505 7.712
angles (deg): 90.00 90.00 90.00
Atoms (fractional coordinates):
Cs (0.000, 0.000, 0.000)
Pu (0.500, 0.500, 0.604)
Br (0.500, 0.500, 0.227)
F (0.000, 0.500, 0.714)
F (0.500, 0.000, 0.708)

=====

Entry 17:
The following is a DFT calculation (PBE-GGA) of an optimized crystal structure of Sm2YPd.

## Properties
Formation enthalpy at 0 K, eV per atom: -0.260
ΔE to the lowest computed polymorph, meV/atom: 180
Space group: R3m, No. 160

a b c (Å): 3.813 3.813 28.757
angles (deg): 90.00 90.00 120.00
Atoms (fractional coordinates):
Sm (0.000, 0.000, 0.000)
Sm (0.000, 0.000, 0.202)
Sm (0.333, 0.667, 0.667)
Sm (0.333, 0.667, 0.868)
Sm (0.667, 0.333, 0.333)
Sm (0.667, 0.333, 0.535)
Y (0.000, 0.000, 0.434)
Y (0.333, 0.667, 0.101)
Y (0.667, 0.333, 0.768)
Pd (0.000, 0.000, 0.601)
Pd (0.333, 0.667, 0.268)
Pd (0.667, 0.333, 0.934)

=====

Entry 18:
The following is a DFT calculation (PBE-GGA) of an optimized crystal structure of LaReSb2.

## Properties
ΔE to the lowest computed polymorph, meV/atom: 226
Space group: P2/m, No. 10
Formation energy (no corrections), kJ per mole of atoms: -3.6

a b c (Å): 4.123 4.537 5.614
angles (deg): 90.00 100.32 90.00
Atoms (fractional coordinates):
La (0.000, 0.000, 0.000)
Re (0.500, 0.000, 0.500)
Sb (0.377, 0.500, 0.736)
Sb (0.623, 0.500, 0.264)

=====

Entry 19:
The following is a DFT calculation (PBE-GGA) of an optimized crystal structure of Pm12Mg2Sc5.

## Properties
Formation enthalpy at 0 K, eV per atom: 0.139
Space group: C2/m, No. 12

a b c (Å): 8.834 8.834 8.408
angles (deg): 92.68 92.68 64.40
Atoms (fractional coordinates):
Pm (0.064, 0.064, 0.188)
Pm (0.100, 0.678, 0.134)
Pm (0.127, 0.530, 0.722)
Pm (0.322, 0.900, 0.866)
Pm (0.379, 0.379, 0.386)
Pm (0.470, 0.873, 0.278)
Pm (0.530, 0.127, 0.722)
Pm (0.621, 0.621, 0.614)
Pm (0.678, 0.100, 0.134)
Pm (0.873, 0.470, 0.278)
Pm (0.900, 0.322, 0.866)
Pm (0.936, 0.936, 0.812)
Mg (0.200, 0.800, 0.500)
Mg (0.800, 0.200, 0.500)
Sc (0.167, 0.167, 0.546)
Sc (0.266, 0.266, 0.045)
Sc (0.500, 0.500, 0.000)
Sc (0.734, 0.734, 0.955)
Sc (0.833, 0.833, 0.454)

=====

Entry 20:
The following is a DFT calculation (PBE-GGA) of an optimized crystal structure of KInSn5.

## Properties
Formation enthalpy at 0 K, eV per atom: 0.008
Space group: P4/mmm, No. 123

a b c (Å): 5.596 5.596 7.989
angles (deg): 90.00 90.00 90.00
Atoms (fractional coordinates):
K (0.000, 0.000, 0.000)
In (0.000, 0.000, 0.500)
Sn (0.000, 0.500, 0.312)
Sn (0.000, 0.500, 0.688)
Sn (0.500, 0.000, 0.312)
Sn (0.500, 0.000, 0.688)
Sn (0.500, 0.500, 0.500)

=====

Entry 21:
The following is a DFT calculation (PBE-GGA) of an optimized crystal structure of PaNbAu.

## Properties
Formation enthalpy at 0 K, eV per atom: 0.013
ΔE to the lowest computed polymorph, meV/atom: 0
Space group: I4mm, No. 107

a b c (Å): 3.853 3.853 8.668
angles (deg): 90.00 90.00 90.00
Atoms (fractional coordinates):
Pa (0.000, 0.000, 0.000)
Pa (0.500, 0.500, 0.500)
Nb (0.000, 0.000, 0.298)
Nb (0.500, 0.500, 0.798)
Au (0.000, 0.000, 0.660)
Au (0.500, 0.500, 0.160)

=====

Entry 22:
The following is a DFT calculation (PBE-GGA) of an optimized crystal structure of ScAg2Cl.

## Properties
ΔE to the lowest computed polymorph, meV/atom: 314
Space group: R-3m, No. 166
Formation energy (no corrections), kJ per mole of atoms: -23.8

a b c (Å): 3.489 3.489 24.426
angles (deg): 90.00 90.00 120.00
Atoms (fractional coordinates):
Sc (0.000, 0.000, 0.000)
Sc (0.333, 0.667, 0.667)
Sc (0.667, 0.333, 0.333)
Ag (0.000, 0.000, 0.249)
Ag (0.000, 0.000, 0.751)
Ag (0.333, 0.667, 0.417)
Ag (0.333, 0.667, 0.916)
Ag (0.667, 0.333, 0.084)
Ag (0.667, 0.333, 0.583)
Cl (0.000, 0.000, 0.500)
Cl (0.333, 0.667, 0.167)
Cl (0.667, 0.333, 0.833)